A relaxed structure of Tl3Zn5, computed with PBE-GGA.

Values from the calculation:
As for the distance to the lowest polymorph of the same formula: 0 meV per atom. For the total energy, the calculation gives -24.47 eV per cell. Its total magnetization is 0.0 Bohr magnetons per cell. For the energy of formation from the pure elements, the calculation gives 0.155 eV/atom. As for the theoretical density: 8.7 g/cm3.

Lattice parameters (Å, degrees): 7.9920 7.9920 7.2322 91.55 91.55 129.09
Fractional coordinates of all 16 atoms:
Tl 0.0000 0.0000 0.0000
Tl 0.2529 0.7531 0.5325
Tl 0.5060 0.5060 0.0642
Tl 0.5100 0.9975 0.0321
Tl 0.7531 0.2529 0.5325
Tl 0.9975 0.5100 0.0321
Zn 0.0247 0.0247 0.5883
Zn 0.0917 0.2970 0.3198
Zn 0.2096 0.4146 0.7445
Zn 0.2970 0.0917 0.3198
Zn 0.4146 0.2096 0.7445
Zn 0.4815 0.4815 0.4757
Zn 0.6185 0.8106 0.7233
Zn 0.6954 0.8876 0.3405
Zn 0.8106 0.6185 0.7233
Zn 0.8876 0.6954 0.3405

=====

A relaxed structure of TlZn2, computed with PBE-GGA.

Values from the calculation:
For the total energy, the calculation gives -15.33 eV per cell. Its total magnetization is 0.0 Bohr magnetons per cell. For the energy of formation from the pure elements, the calculation gives 0.361 eV/atom. As for the theoretical density: 7.4 g/cm3.

Lattice parameters (Å, degrees): 6.7094 6.7094 6.7094 90.00 90.00 90.00
Fractional coordinates of all 12 atoms:
Tl 0.0000 0.0000 0.0000
Tl 0.0000 0.5000 0.5000
Tl 0.5000 0.0000 0.5000
Tl 0.5000 0.5000 0.0000
Zn 0.1115 0.6115 0.8885
Zn 0.1115 0.8885 0.3885
Zn 0.3885 0.1115 0.8885
Zn 0.3885 0.3885 0.3885
Zn 0.6115 0.6115 0.6115
Zn 0.6115 0.8885 0.1115
Zn 0.8885 0.1115 0.6115
Zn 0.8885 0.3885 0.1115

=====

A relaxed structure of ZrTl2Zn, computed with PBE-GGA.

Values from the calculation:
As for the distance to the lowest polymorph of the same formula: 145 meV per atom. For the total energy, the calculation gives -41.90 eV per cell. Its total magnetization is 0.0 Bohr magnetons per cell. For the energy of formation from the pure elements, the calculation gives 0.147 eV/atom. As for the theoretical density: 10.1 g/cm3.

Lattice parameters (Å, degrees): 3.3008 3.3008 29.4233 90.00 90.00 120.00
Fractional coordinates of all 12 atoms:
Zr 0.0000 0.0000 0.0000
Zr 0.3333 0.6667 0.6667
Zr 0.6667 0.3333 0.3333
Tl 0.0000 0.0000 0.2455
Tl 0.0000 0.0000 0.7545
Tl 0.3333 0.6667 0.4212
Tl 0.3333 0.6667 0.9122
Tl 0.6667 0.3333 0.0878
Tl 0.6667 0.3333 0.5788
Zn 0.0000 0.0000 0.5000
Zn 0.3333 0.6667 0.1667
Zn 0.6667 0.3333 0.8333

=====

A relaxed structure of ZrTl2Zn, computed with PBE-GGA.

Values from the calculation:
As for the distance to the lowest polymorph of the same formula: 148 meV per atom. For the total energy, the calculation gives -13.96 eV per cell. Its total magnetization is 0.0 Bohr magnetons per cell. For the energy of formation from the pure elements, the calculation gives 0.150 eV/atom. As for the theoretical density: 10.3 g/cm3.

Lattice parameters (Å, degrees): 3.3449 4.3335 6.2682 90.00 90.00 90.00
Fractional coordinates of all 4 atoms:
Zr 0.0000 0.0000 0.0000
Tl 0.5000 0.5000 0.2532
Tl 0.5000 0.5000 0.7468
Zn 0.0000 0.0000 0.5000